--- A ---
An optimized crystal structure of Mg6NbCoO8, computed with GGA+U.

Computed properties:
Total magnetic moment in μB/cell: 3.5
Density in g cm⁻³: 4.3

abc: 4.298 4.298 8.805
angles: 90.00 90.00 90.00
Space group P4/mmm (No. 123)
Asymmetric unit:
Mg1 0.000 0.000 0.000 (multiplicity 1)
Mg2 0.000 0.000 0.500 (multiplicity 1)
Mg3 0.000 0.500 0.232 (multiplicity 4)
Nb1 0.500 0.500 0.500 (multiplicity 1)
Co1 0.500 0.500 0.000 (multiplicity 1)
O1 0.000 0.000 0.252 (multiplicity 2)
O2 0.000 0.500 0.000 (multiplicity 2)
O3 0.000 0.500 0.500 (multiplicity 2)
O4 0.500 0.500 0.257 (multiplicity 2)



--- B ---
An optimized crystal structure of Mg6NbCoO8, computed with GGA+U.

Computed properties:
Total magnetic moment in μB/cell: 3.1
Density in g cm⁻³: 4.4

abc: 4.278 4.278 8.773
angles: 90.00 90.00 90.00
Space group P4/mmm (No. 123)
Asymmetric unit:
Mg1 0.000 0.000 0.000 (multiplicity 1)
Mg2 0.000 0.500 0.245 (multiplicity 4)
Mg3 0.500 0.500 0.000 (multiplicity 1)
Nb1 0.000 0.000 0.500 (multiplicity 1)
Co1 0.500 0.500 0.500 (multiplicity 1)
O1 0.000 0.000 0.243 (multiplicity 2)
O2 0.000 0.500 0.000 (multiplicity 2)
O3 0.000 0.500 0.500 (multiplicity 2)
O4 0.500 0.500 0.238 (multiplicity 2)



Most stable to least stable: B, A